Here is a geometry-optimized CaTb2PmIn4 structure from Alexandria. Energies are from PBE.

Computed properties:
DFT formation energy = -0.472 eV/atom
Space group = No. 166

abc: 9.3651 9.3651 9.3651
angles: 33.35 33.35 33.35
Fractional coordinates of all 8 atoms:
Ca 0.0000 0.0000 0.0000
Tb 0.2521 0.2521 0.2521
Tb 0.7479 0.7479 0.7479
Pm 0.5000 0.5000 0.5000
In 0.1252 0.1252 0.1252
In 0.3752 0.3752 0.3752
In 0.6248 0.6248 0.6248
In 0.8748 0.8748 0.8748

***

Here is a geometry-optimized HRu2PtRh structure from Alexandria. Energies are from PBE.

Computed properties:
Energy above the lowest structure with this stoichiometry = 0.00 eV per formula unit
Space group = No. 123

abc: 3.9008 3.9008 3.9314
angles: 90.00 90.00 90.00
Fractional coordinates of all 5 atoms:
H 0.0000 0.0000 0.0000
Ru 0.0000 0.5000 0.0000
Ru 0.5000 0.0000 0.0000
Pt 0.5000 0.5000 0.5000
Rh 0.0000 0.0000 0.5000

***

Here is a geometry-optimized ScGa2Bi2 structure from Alexandria. Energies are from PBE.

Computed properties:
Energy above the lowest structure with this stoichiometry = 0.00 eV per formula unit
DFT formation energy = -0.093 eV/atom
Space group = No. 127

abc: 7.3677 7.3677 4.5497
angles: 90.00 90.00 90.00
Fractional coordinates of all 10 atoms:
Sc 0.0000 0.0000 0.0000
Sc 0.5000 0.5000 0.0000
Ga 0.1282 0.3718 0.0000
Ga 0.3718 0.8718 0.0000
Ga 0.6282 0.1282 0.0000
Ga 0.8718 0.6282 0.0000
Bi 0.1705 0.6705 0.5000
Bi 0.3295 0.1705 0.5000
Bi 0.6705 0.8295 0.5000
Bi 0.8295 0.3295 0.5000

***

Here is a geometry-optimized Na2Y2PuS6 structure from Alexandria. Energies are from PBE.

Computed properties:
Uncorrected formation energy = -1.698 eV/atom
Space group = No. 12

abc: 6.8958 6.8958 7.1116
angles: 99.29 99.29 119.86
Fractional coordinates of all 11 atoms:
Na 0.1684 0.8316 0.0000
Na 0.8316 0.1684 0.0000
Y 0.3341 0.6659 0.5000
Y 0.6659 0.3341 0.5000
Pu 0.0000 0.0000 0.5000
S 0.0690 0.4001 0.7201
S 0.2495 0.2495 0.2803
S 0.4001 0.0690 0.7201
S 0.5999 0.9310 0.2799
S 0.7505 0.7505 0.7197
S 0.9310 0.5999 0.2799

***

Here is a geometry-optimized LiSc2TiH structure from Alexandria. Energies are from PBE.

Computed properties:
Energy above the lowest structure with this stoichiometry = 0.00 eV per formula unit
Space group = No. 123

abc: 4.6922 4.6922 3.8477
angles: 90.00 90.00 90.00
Fractional coordinates of all 5 atoms:
Li 0.0000 0.0000 0.0000
Sc 0.0000 0.5000 0.5000
Sc 0.5000 0.0000 0.5000
Ti 0.5000 0.5000 0.0000
H 0.5000 0.5000 0.5000

***

Here is a geometry-optimized ZnMo2HIr structure from Alexandria. Energies are from PBE.

Computed properties:
Energy = -6.92 eV per atom
Space group = No. 123

abc: 3.9102 3.9102 4.1036
angles: 90.00 90.00 90.00
Fractional coordinates of all 5 atoms:
Zn 0.0000 0.0000 0.0000
Mo 0.0000 0.5000 0.5000
Mo 0.5000 0.0000 0.5000
H 0.5000 0.5000 0.5000
Ir 0.5000 0.5000 0.0000

***

Here is a geometry-optimized Cr2TePt structure from Alexandria. Energies are from PBE.

Computed properties:
Uncorrected formation energy = 0.335 eV/atom
Space group = No. 12

abc: 9.1648 3.1303 5.0374
angles: 90.00 110.41 90.00
Fractional coordinates of all 8 atoms:
Cr 0.2472 0.0000 0.3404
Cr 0.2528 0.5000 0.6596
Cr 0.7472 0.5000 0.3404
Cr 0.7528 0.0000 0.6596
Te 0.0000 0.5000 0.0000
Te 0.5000 0.0000 0.0000
Pt 0.0000 0.0000 0.5000
Pt 0.5000 0.5000 0.5000

***

Here is a geometry-optimized Ho4CoBi2 structure from Alexandria. Energies are from PBE.

Computed properties:
Energy above the lowest structure with this stoichiometry = 0.00 eV per formula unit
DFT formation energy = -0.505 eV/atom
Space group = No. 2

abc: 6.4512 7.2167 8.7991
angles: 81.23 73.89 77.97
Fractional coordinates of all 14 atoms:
Ho 0.1573 0.0326 0.2289
Ho 0.2165 0.5068 0.2151
Ho 0.2851 0.2934 0.8553
Ho 0.3079 0.7040 0.5773
Ho 0.6921 0.2960 0.4227
Ho 0.7149 0.7066 0.1447
Ho 0.7835 0.4932 0.7849
Ho 0.8427 0.9674 0.7711
Co 0.0639 0.6452 0.8894
Co 0.9361 0.3548 0.1106
Bi 0.1768 0.2156 0.5390
Bi 0.3657 0.8220 0.9145
Bi 0.6343 0.1780 0.0855
Bi 0.8232 0.7844 0.4610

***

Here is a geometry-optimized SnHBrN2 structure from Alexandria. Energies are from PBE.

Computed properties:
Energy = -3.19 eV per atom
Space group = No. 123

abc: 4.2388 4.2388 4.3519
angles: 90.00 90.00 90.00
Fractional coordinates of all 5 atoms:
Sn 0.0000 0.0000 0.0000
H 0.0000 0.0000 0.5000
Br 0.5000 0.5000 0.0000
N 0.0000 0.5000 0.5000
N 0.5000 0.0000 0.5000

***

Here is a geometry-optimized La7Y12Sc structure from Alexandria. Energies are from PBE.

Computed properties:
DFT formation energy = 0.098 eV/atom
Space group = No. 166

abc: 8.9169 8.9169 8.9169
angles: 99.59 99.59 99.59
Fractional coordinates of all 20 atoms:
La 0.0000 0.0000 0.0000
La 0.1617 0.5922 0.5922
La 0.4078 0.4078 0.8383
La 0.4078 0.8383 0.4078
La 0.5922 0.1617 0.5922
La 0.5922 0.5922 0.1617
La 0.8383 0.4078 0.4078
Y 0.0000 0.2591 0.7409
Y 0.0000 0.7409 0.2591
Y 0.1481 0.1481 0.4145
Y 0.1481 0.4145 0.1481
Y 0.2591 0.0000 0.7409
Y 0.2591 0.7409 0.0000
Y 0.4145 0.1481 0.1481
Y 0.5855 0.8519 0.8519
Y 0.7409 0.0000 0.2591
Y 0.7409 0.2591 0.0000
Y 0.8519 0.5855 0.8519
Y 0.8519 0.8519 0.5855
Sc 0.5000 0.5000 0.5000

***

Here is a geometry-optimized ZrPa2Zn structure from Alexandria. Energies are from PBE.

Computed properties:
Energy above the lowest structure with this stoichiometry = 0.73 eV per formula unit
DFT formation energy = 0.193 eV/atom
Space group = No. 123

abc: 3.8073 3.8073 6.4420
angles: 90.00 90.00 90.00
Fractional coordinates of all 4 atoms:
Zr 0.0000 0.0000 0.0000
Pa 0.5000 0.5000 0.2796
Pa 0.5000 0.5000 0.7204
Zn 0.0000 0.0000 0.5000

***

Here is a geometry-optimized Nd2ThSi structure from Alexandria. Energies are from PBE.

Computed properties:
Energy above the lowest structure with this stoichiometry = 1.20 eV per formula unit
Uncorrected formation energy = 0.094 eV/atom
Space group = No. 166

abc: 3.6065 3.6065 33.3290
angles: 90.00 90.00 120.00
Fractional coordinates of all 12 atoms:
Nd 0.0000 0.0000 0.1052
Nd 0.0000 0.0000 0.8948
Nd 0.3333 0.6667 0.5614
Nd 0.3333 0.6667 0.7719
Nd 0.6667 0.3333 0.2281
Nd 0.6667 0.3333 0.4386
Th 0.0000 0.0000 0.0000
Th 0.3333 0.6667 0.6667
Th 0.6667 0.3333 0.3333
Si 0.0000 0.0000 0.5000
Si 0.3333 0.6667 0.1667
Si 0.6667 0.3333 0.8333

***

It is found that the magnetization values, taken in the order of the records, are 0.000, 0.000, 0.000, 4.000, 2.508, 0.000, 0.000, 0.000, 4.168, 0.000, 0.002, 0.000 μB per formula unit.